1.
Entry from the Alexandria database: a relaxed BaPm2N crystal (PBE).

Values from the calculation:
Calculated density (g/cm3): 6.14
Raw formation energy (eV/atom): -0.56

a = 3.7114 Å, b = 3.7114 Å, c = 30.0004 Å
α = 90.00°, β = 90.00°, γ = 120.00°
Last column: nearest neighbours and their distance in Å.
Space group R-3m (No. 166, hexagonal axes)
Inequivalent atoms, fractional coordinates:
Ba 0.0000 0.0000 0.0000  6 Ba 3.71
Pm 0.0000 0.0000 0.2116  3 N 2.53
N 0.0000 0.0000 0.5000  6 Pm 2.53

***

2.
Entry from the Alexandria database: a relaxed BaPm2PuN4 crystal (PBE).

Values from the calculation:
Calculated density (g/cm3): 7.72
Raw formation energy (eV/atom): -1.00

a = 3.6673 Å, b = 13.4417 Å, c = 12.6942 Å
α = 90.00°, β = 90.00°, γ = 90.00°
Last column: nearest neighbours and their distance in Å.
Space group Cmcm (No. 63)
Inequivalent atoms, fractional coordinates:
Ba 0.0000 0.0319 0.2500  2 N 2.78
Pm 0.0000 0.3714 0.0339  5 N 2.40-2.56
Pu 0.0000 0.2292 0.7500  2 N 1.96
N 0.0000 0.0000 0.0000  4 Pm 2.56
N 0.0000 0.2421 0.5963  1 Pu 1.96
N 0.0000 0.3767 0.2500  2 Pu 2.32

***

3.
Entry from the Alexandria database: a relaxed Ba3PmRe2N6 crystal (PBE).

Values from the calculation:
Calculated density (g/cm3): 6.53
Raw formation energy (eV/atom): -0.76

a = 6.3560 Å, b = 6.3560 Å, c = 7.3633 Å
α = 90.00°, β = 90.00°, γ = 120.00°
Last column: nearest neighbours and their distance in Å.
Space group P-3m1 (No. 164)
Inequivalent atoms, fractional coordinates:
Ba 0.0000 0.0000 0.0000  6 N 2.85
Ba 0.3333 0.6667 0.7141  6 N 3.18, 1 Re 3.49
Pm 0.0000 0.0000 0.5000  6 N 2.45
Re 0.3333 0.6667 0.2395  3 N 1.82
N 0.1719 0.3438 0.2897  1 Re 1.82

***

4.
Entry from the Alexandria database: a relaxed BaPm2ReN4 crystal (PBE).

Values from the calculation:
Calculated density (g/cm3): 6.56
Raw formation energy (eV/atom): -0.67

a = 4.0096 Å, b = 13.6528 Å, c = 12.3847 Å
α = 90.00°, β = 90.00°, γ = 90.00°
Last column: nearest neighbours and their distance in Å.
Space group Cmcm (No. 63)
Inequivalent atoms, fractional coordinates:
Ba 0.0000 0.0511 0.2500  1 N 2.77
Pm 0.0000 0.1542 0.5486  1 N 2.19
Re 0.0000 0.3211 0.2500  4 N 1.90-2.04
N 0.0000 0.0000 0.0000  2 Pm 2.19
N 0.0000 0.1515 0.7500  2 Re 2.04
N 0.0000 0.2593 0.1127  1 Re 1.90

***

5.
Entry from the Alexandria database: a relaxed BaPm2RuN4 crystal (PBE).

Values from the calculation:
Calculated density (g/cm3): 7.01
Raw formation energy (eV/atom): -0.78

a = 3.5902 Å, b = 12.5145 Å, c = 12.3176 Å
α = 90.00°, β = 90.00°, γ = 90.00°
Last column: nearest neighbours and their distance in Å.
Space group Cmcm (No. 63)
Inequivalent atoms, fractional coordinates:
Ba 0.0000 0.0764 0.2500  8 N 2.92-3.22
Pm 0.0000 0.3693 0.0421  6 N 2.39-2.58
Ru 0.0000 0.1863 0.7500  4 N 1.89-2.05
N 0.0000 0.0000 0.0000  4 Pm 2.48
N 0.0000 0.2566 0.6140  1 Ru 1.89
N 0.0000 0.3921 0.2500  2 Ru 2.05

***

6.
Entry from the Alexandria database: a relaxed BaPm2SiN4 crystal (PBE).

Values from the calculation:
Calculated density (g/cm3): 6.49
Raw formation energy (eV/atom): -1.15

a = 3.4858 Å, b = 12.5316 Å, c = 11.9773 Å
α = 90.00°, β = 90.00°, γ = 90.00°
Last column: nearest neighbours and their distance in Å.
Space group Cmcm (No. 63)
Inequivalent atoms, fractional coordinates:
Ba 0.0000 0.0886 0.2500  8 N 2.98-3.19, 2 Si 3.29
Pm 0.0000 0.3680 0.0406  6 N 2.42-2.57
Si 0.0000 0.1885 0.7500  2 N 1.73
N 0.0000 0.0000 0.0000  4 Pm 2.45
N 0.0000 0.2590 0.6262  1 Si 1.73
N 0.0000 0.3883 0.2500  2 Si 1.99

***

7.
Entry from the Alexandria database: a relaxed BaPm2SnN4 crystal (PBE).

Values from the calculation:
Calculated density (g/cm3): 6.90
Raw formation energy (eV/atom): -0.79

a = 3.6230 Å, b = 12.7039 Å, c = 12.5892 Å
α = 90.00°, β = 90.00°, γ = 90.00°
Last column: nearest neighbours and their distance in Å.
Space group Cmcm (No. 63)
Inequivalent atoms, fractional coordinates:
Ba 0.0000 0.0976 0.2500  6 N 2.85-3.09
Pm 0.0000 0.3700 0.0341  3 N 2.34-2.49
Sn 0.0000 0.1691 0.7500  4 N 2.06-2.17
N 0.0000 0.0000 0.0000  4 Pm 2.49
N 0.0000 0.2586 0.6140  1 Sn 2.06
N 0.0000 0.4248 0.2500  2 Sn 2.17

***

8.
Entry from the Alexandria database: a relaxed BaPmTaN3 crystal (PBE).

Values from the calculation:
Calculated density (g/cm3): 7.88
Raw formation energy (eV/atom): -1.00

a = 13.8605 Å, b = 4.0909 Å, c = 7.7922 Å
α = 90.00°, β = 105.41°, γ = 90.00°
Last column: nearest neighbours and their distance in Å.
Space group C2/m (No. 12)
Inequivalent atoms, fractional coordinates:
Ba 0.1475 0.0000 0.0754  6 N 2.75-3.05
Pm 0.1577 0.0000 0.5782  7 N 2.46-2.72
Ta 0.0022 0.5000 0.3049  4 N 2.02-2.10
N 0.0052 0.0000 0.3149  2 Ta 2.05
N 0.1478 0.5000 0.7971  1 Ta 2.02
N 0.1584 0.5000 0.3486  1 Ta 2.10

***

9.
Entry from the Alexandria database: a relaxed BaPm2TaN4 crystal (PBE).

Values from the calculation:
Calculated density (g/cm3): 7.70
Raw formation energy (eV/atom): -1.18

a = 3.5733 Å, b = 12.8985 Å, c = 12.4339 Å
α = 90.00°, β = 90.00°, γ = 90.00°
Last column: nearest neighbours and their distance in Å.
Space group Cmcm (No. 63)
Inequivalent atoms, fractional coordinates:
Ba 0.0000 0.0886 0.2500  8 N 2.97-3.31
Pm 0.0000 0.3715 0.0342  6 N 2.43-2.72
Ta 0.0000 0.1742 0.7500  4 N 1.92-2.06
N 0.0000 0.0000 0.0000  4 Pm 2.47
N 0.0000 0.2578 0.6219  1 Ta 1.92
N 0.0000 0.4048 0.2500  2 Ta 2.06

***

10.
Entry from the Alexandria database: a relaxed BaPm2Tc2N6 crystal (PBE).

Values from the calculation:
Calculated density (g/cm3): 5.64
Raw formation energy (eV/atom): -0.60

a = 6.1633 Å, b = 6.5143 Å, c = 6.5954 Å
α = 112.47°, β = 114.33°, γ = 98.17°
Last column: nearest neighbours and their distance in Å.
Space group P-1 (No. 2)
Inequivalent atoms, fractional coordinates:
Ba 0.0000 0.0000 0.0000  4 N 2.73-2.74
Pm 0.3035 0.6578 0.3704  6 N 2.43-2.58
Tc 0.2078 0.1906 0.6591  3 N 1.80-1.88
N 0.1389 0.3535 0.9023  1 Tc 1.81
N 0.2693 0.3565 0.4980  1 Tc 1.88
N 0.4618 0.0742 0.7296  1 Tc 1.80

***

11.
Entry from the Alexandria database: a relaxed BaPmTcN3 crystal (PBE).

Values from the calculation:
Calculated density (g/cm3): 7.03
Raw formation energy (eV/atom): -0.71

a = 13.7028 Å, b = 3.9452 Å, c = 7.6503 Å
α = 90.00°, β = 105.29°, γ = 90.00°
Last column: nearest neighbours and their distance in Å.
Space group C2/m (No. 12)
Inequivalent atoms, fractional coordinates:
Ba 0.1389 0.0000 0.0757  7 N 2.85-3.07
Pm 0.1575 0.0000 0.5698  7 N 2.46-2.66
Tc 0.0035 0.5000 0.6831  4 N 1.91-2.14
N 0.0025 0.0000 0.3100  2 Tc 1.98
N 0.1458 0.5000 0.7969  1 Tc 1.91
N 0.1568 0.5000 0.3585  1 Tc 2.14

***

12.
Entry from the Alexandria database: a relaxed Ba2PmTc2N6 crystal (PBE).

Values from the calculation:
Calculated density (g/cm3): 5.62
Raw formation energy (eV/atom): -0.63

a = 10.8945 Å, b = 6.2171 Å, c = 7.3020 Å
α = 90.00°, β = 123.21°, γ = 90.00°
Last column: nearest neighbours and their distance in Å.
Space group C2/m (No. 12)
Inequivalent atoms, fractional coordinates:
Ba 0.2156 0.0000 0.1917  5 N 2.86-3.02
Pm 0.0000 0.0000 0.5000  6 N 2.42-2.49
Tc 0.0372 0.5000 0.2008  3 N 1.79-1.81
N 0.0495 0.2613 0.7788  1 Tc 1.81
N 0.2333 0.5000 0.3577  1 Tc 1.79

***

13.
Entry from the Alexandria database: a relaxed BaPm2TcN4 crystal (PBE).

Values from the calculation:
Calculated density (g/cm3): 6.91
Raw formation energy (eV/atom): -0.88

a = 3.5627 Å, b = 12.6702 Å, c = 12.3733 Å
α = 90.00°, β = 90.00°, γ = 90.00°
Last column: nearest neighbours and their distance in Å.
Space group Cmcm (No. 63)
Inequivalent atoms, fractional coordinates:
Ba 0.0000 0.0687 0.2500  2 N 2.86
Pm 0.0000 0.3707 0.0412  6 N 2.41-2.60
Tc 0.0000 0.1909 0.7500  4 N 1.87-2.07
N 0.0000 0.0000 0.0000  4 Pm 2.47
N 0.0000 0.2573 0.6153  1 Tc 1.87
N 0.0000 0.3924 0.2500  2 Tc 2.07

***

14.
Entry from the Alexandria database: a relaxed BaPmThN3 crystal (PBE).

Values from the calculation:
Calculated density (g/cm3): 6.52
Raw formation energy (eV/atom): -1.08

a = 7.5634 Å, b = 3.7054 Å, c = 10.1118 Å
α = 90.00°, β = 90.64°, γ = 90.00°
Last column: nearest neighbours and their distance in Å.
Space group P2_1/m (No. 11)
Inequivalent atoms, fractional coordinates:
Ba 0.1331 0.2500 0.1989  6 N 2.95-3.07
Pm 0.1677 0.2500 0.5678  4 N 2.30-2.48
Th 0.3774 0.7500 0.8742  5 N 2.26-2.51
N 0.1362 0.7500 0.4303  3 Pm 2.30-2.33
N 0.1901 0.2500 0.8121  2 Th 2.41, 1 Pm 2.48
N 0.4019 0.7500 0.0971  3 Th 2.26-2.51

***

15.
Entry from the Alexandria database: a relaxed BaPm2U3N8 crystal (PBE).

Values from the calculation:
Calculated density (g/cm3): 8.32
Raw formation energy (eV/atom): -1.32

a = 7.0522 Å, b = 7.0522 Å, c = 17.4188 Å
α = 90.00°, β = 90.00°, γ = 120.00°
Last column: nearest neighbours and their distance in Å.
Space group R3m (No. 160, hexagonal axes)
Inequivalent atoms, fractional coordinates:
Ba 0.0000 0.0000 0.0000  4 N 2.60-2.69
Pm 0.0000 0.0000 0.3782  6 N 2.43-2.50
Pm 0.0000 0.0000 0.7611  4 N 2.40-2.62
U 0.0035 0.5018 0.8787  6 N 2.18-2.35
N 0.0000 0.0000 0.1542  3 U 2.25
N 0.0000 0.0000 0.6107  3 U 2.35, 1 Pm 2.62
N 0.0346 0.5173 0.1431  2 U 2.29, 2 Pm 2.40-2.50
N 0.1970 0.3939 0.9430  2 U 2.18, 1 Pm 2.43

***

16.
Entry from the Alexandria database: a relaxed BaPmUN4 crystal (PBE).

Values from the calculation:
Calculated density (g/cm3): 7.91
Raw formation energy (eV/atom): -0.97

a = 6.1062 Å, b = 12.9283 Å, c = 6.1277 Å
α = 90.00°, β = 90.00°, γ = 90.00°
Last column: nearest neighbours and their distance in Å.
Space group Cmcm (No. 63)
Inequivalent atoms, fractional coordinates:
Ba 0.0000 0.0993 0.2500  1 N 2.59
Pm 0.0000 0.3913 0.2500  1 N 2.37
U 0.0000 0.2564 0.7500  6 N 2.01-2.19
N 0.0000 0.1009 0.7500  1 U 2.01
N 0.0000 0.4254 0.7500  1 U 2.19, 1 Pm 2.37
N 0.2500 0.2500 0.0000  2 U 2.16

***

17.
Entry from the Alexandria database: a relaxed BaPm2UN4 crystal (PBE).

Values from the calculation:
Calculated density (g/cm3): 8.62
Raw formation energy (eV/atom): -1.10

a = 7.1996 Å, b = 7.3436 Å, c = 10.5139 Å
α = 90.00°, β = 90.00°, γ = 90.00°
Last column: nearest neighbours and their distance in Å.
Space group Imma (No. 74)
Inequivalent atoms, fractional coordinates:
Ba 0.2500 0.2500 0.2500  6 N 2.75
Pm 0.0000 0.0000 0.0000  4 N 2.65
Pm 0.2500 0.2500 0.7500  6 N 2.50-2.51
U 0.0000 0.0000 0.5000  2 N 2.12
N 0.0000 0.0239 0.7011  1 U 2.12
N 0.2353 0.2500 0.5117  2 U 2.50, 3 Pm 2.51-2.65, 1 Ba 2.75

***

18.
Entry from the Alexandria database: a relaxed BaPmVN3 crystal (PBE).

Values from the calculation:
Calculated density (g/cm3): 6.33
Raw formation energy (eV/atom): -0.90

a = 13.5034 Å, b = 3.9018 Å, c = 7.7798 Å
α = 90.00°, β = 105.97°, γ = 90.00°
Last column: nearest neighbours and their distance in Å.
Space group C2/m (No. 12)
Inequivalent atoms, fractional coordinates:
Ba 0.1426 0.0000 0.0739  6 N 2.79-3.02
Pm 0.1551 0.0000 0.5760  7 N 2.44-2.64
V 0.0007 0.5000 0.3101  4 N 1.89-1.98
N 0.0034 0.0000 0.3185  2 V 1.95
N 0.1428 0.5000 0.7973  1 V 1.89
N 0.1520 0.5000 0.3475  1 V 1.98

***

19.
Entry from the Alexandria database: a relaxed BaPmWN3 crystal (PBE).

Values from the calculation:
Calculated density (g/cm3): 8.25
Raw formation energy (eV/atom): -0.88

a = 13.7452 Å, b = 4.0197 Å, c = 7.6777 Å
α = 90.00°, β = 105.37°, γ = 90.00°
Last column: nearest neighbours and their distance in Å.
Space group C2/m (No. 12)
Inequivalent atoms, fractional coordinates:
Ba 0.1402 0.0000 0.0718  7 N 2.86-3.01
Pm 0.1587 0.0000 0.5726  7 N 2.46-2.68
W 0.0009 0.5000 0.6844  4 N 1.93-2.10
N 0.0048 0.0000 0.2990  2 W 2.02
N 0.1447 0.5000 0.7941  1 W 1.93
N 0.1564 0.5000 0.3591  1 W 2.10

***

The following electronic total energy values (in eV/atom) correspond, in order, to the records above: -5.493 -8.386 -7.877 -7.812 -7.528 -7.423 -6.878 -8.249 -8.256 -8.063 -7.712 -7.842 -7.767 -7.588 -9.311 -8.291 -8.100 -7.699 -8.318.